The following is a PBE calculation of a relaxed CdSi2Ag crystal, from Alexandria.

```
data_CdSi2Ag
_chemical_formula_sum 'Cd2 Si4 Ag2'
_symmetry_space_group_name_H-M 'C m m m'
_symmetry_Int_Tables_number 65
_symmetry_space_group_name_Hall '-C 2 2'
_cell_length_a 5.715
_cell_length_b 8.160
_cell_length_c 3.134
_cell_angle_alpha 90.00
_cell_angle_beta 90.00
_cell_angle_gamma 90.00
loop_
_atom_site_label
_atom_site_fract_x
_atom_site_fract_y
_atom_site_fract_z
Cd1 0.000 0.000 0.000
Si1 0.250 0.250 0.500
Ag1 0.000 0.500 0.000
```

The following is a PBE calculation of a relaxed CdSi3Ag crystal, from Alexandria.

```
data_CdSi3Ag
_chemical_formula_sum 'Cd1 Si3 Ag1'
_symmetry_space_group_name_H-M 'P m -3 m'
_symmetry_Int_Tables_number 221
_symmetry_space_group_name_Hall '-P 4 2 3'
_cell_length_a 4.893
_cell_length_b 4.893
_cell_length_c 4.893
_cell_angle_alpha 90.00
_cell_angle_beta 90.00
_cell_angle_gamma 90.00
loop_
_atom_site_label
_atom_site_fract_x
_atom_site_fract_y
_atom_site_fract_z
Cd1 0.000 0.000 0.000
Si1 0.000 0.500 0.500
Ag1 0.500 0.500 0.500
```

The following is a PBE calculation of a relaxed Cd3SiAg crystal, from Alexandria.

```
data_Cd3SiAg
_chemical_formula_sum 'Cd3 Si1 Ag1'
_symmetry_space_group_name_H-M 'P m -3 m'
_symmetry_Int_Tables_number 221
_symmetry_space_group_name_Hall '-P 4 2 3'
_cell_length_a 5.130
_cell_length_b 5.130
_cell_length_c 5.130
_cell_angle_alpha 90.00
_cell_angle_beta 90.00
_cell_angle_gamma 90.00
loop_
_atom_site_label
_atom_site_fract_x
_atom_site_fract_y
_atom_site_fract_z
Cd1 0.000 0.000 0.500
Si1 0.000 0.000 0.000
Ag1 0.500 0.500 0.500
```

no.,ΔE_f (raw) (eV per atom)
1,0.446
2,1.017
3,0.490